# 1
Material: ZrAgTe2
Method: DFT, PBE
State: optimized geometry

Structure (CIF):
```
data_ZrAgTe2
_symmetry_space_group_name_H-M 'P 1'
_symmetry_Int_Tables_number 1
_cell_length_a 9.3257
_cell_length_b 9.3257
_cell_length_c 9.3257
_cell_angle_alpha 24.35
_cell_angle_beta 24.35
_cell_angle_gamma 24.35
loop_
_symmetry_equiv_pos_as_xyz
'x,y,z'
loop_
_atom_site_label
_atom_site_type_symbol
_atom_site_fract_x
_atom_site_fract_y
_atom_site_fract_z
Zr1 Zr 0.0000 0.0000 0.0000
Ag1 Ag 0.5000 0.5000 0.5000
Te1 Te 0.4005 0.4005 0.4005
Te2 Te 0.5995 0.5995 0.5995
```

Output
The uncorrected formation energy comes out at -1.97 eV/f.u. The total DFT energy (no corrections) is -0.181 hartree per atom. The space-group type is R-3m, No. 166.


# 2
Material: Ba2HgPd
Method: DFT, PBE
State: optimized geometry

Structure (CIF):
```
data_Ba2HgPd
_symmetry_space_group_name_H-M 'P 1'
_symmetry_Int_Tables_number 1
_cell_length_a 7.4162
_cell_length_b 7.4162
_cell_length_c 7.4162
_cell_angle_alpha 107.34
_cell_angle_beta 107.34
_cell_angle_gamma 113.83
loop_
_symmetry_equiv_pos_as_xyz
'x,y,z'
loop_
_atom_site_label
_atom_site_type_symbol
_atom_site_fract_x
_atom_site_fract_y
_atom_site_fract_z
Ba1 Ba 0.0904 0.6250 0.9654
Ba2 Ba 0.3750 0.3404 0.4654
Ba3 Ba 0.6596 0.1250 0.0346
Ba4 Ba 0.8750 0.9096 0.5346
Hg1 Hg 0.2500 0.7500 0.5000
Hg2 Hg 0.5000 0.5000 0.0000
Pd1 Pd 0.0000 0.0000 0.0000
Pd2 Pd 0.7500 0.2500 0.5000
```

Output
The total DFT energy (no corrections) is -0.096 hartree per atom. The space-group type is I-42d, No. 122. For the formation energy, the calculation gives -0.27 eV/atom.


Number 1: calculated volume 121 Å³/cell, total magnetic moment 0.00 μB per cell. Number 2: calculated volume 313 Å³/cell, total magnetic moment 0.00 μB per cell.